## CdIn2HPd6 (GGA-PBE)

Data for CdIn2HPd6 after structural relaxation.

Calculated values
E_tot	-4.38	eV per atom
total magnetic moment	0.00	μB per cell
SG	P1 (1)

Geometry as POSCAR:
```
CdIn2HPd6
1.0
5.467 0.000 0.000
2.691 4.840 0.000
2.732 -0.590 6.241
Cd In H Pd
1 2 1 6
Direct
0.000 0.000 0.000
0.487 0.174 0.768
0.513 0.826 0.232
0.998 0.501 0.501
0.047 0.165 0.602
0.062 0.359 0.189
0.479 0.339 0.362
0.521 0.661 0.637
0.938 0.641 0.811
0.953 0.835 0.398
```